(P)
MnAlP3: optimized geometry, PBE.

a b c (Å): 4.5546 4.5546 4.5546
angles (deg): 90.00 90.00 90.00
Fractional positions:
1 P 0.0000 0.5000 0.0000
2 P 0.0000 0.0000 0.5000
3 P 0.5000 0.0000 0.0000
4 Mn 0.5000 0.5000 0.5000
5 Al 0.0000 0.0000 0.0000

---

(Q)
MnAlP3: optimized geometry, PBE.

a b c (Å): 4.4058 4.4058 4.4058
angles (deg): 90.00 90.00 90.00
Fractional positions:
1 P 0.0000 0.5000 0.0000
2 P 0.0000 0.0000 0.5000
3 P 0.5000 0.0000 0.0000
4 Mn 0.0000 0.0000 0.0000
5 Al 0.5000 0.5000 0.5000

---

Most stable one: (Q), least stable one: (P).

---

(P)
Pa2MnAl: optimized geometry, PBE.

a b c (Å): 4.4139 4.2531 4.2531
angles (deg): 90.00 90.00 90.00
Fractional positions:
1 Pa 0.0000 0.0000 0.5000
2 Pa 0.0000 0.5000 0.0000
3 Al 0.5000 0.0000 0.0000
4 Mn 0.5000 0.5000 0.5000

---

(Q)
Pa2MnAl: optimized geometry, PBE.

a b c (Å): 3.4540 3.4540 6.7947
angles (deg): 90.00 90.00 90.00
Fractional positions:
1 Pa 0.0000 0.0000 0.7870
2 Pa 0.0000 0.0000 0.2130
3 Al 0.5000 0.5000 0.5000
4 Mn 0.5000 0.5000 0.0000

---

(R)
Pa2MnAl: optimized geometry, PBE.

a b c (Å): 3.4936 3.4936 9.6904
angles (deg): 79.61 79.61 60.00
Fractional positions:
1 Pa 0.1107 0.1107 0.6679
2 Pa 0.8893 0.8893 0.3321
3 Al 0.0000 0.0000 0.0000
4 Mn 0.5000 0.5000 0.5000

---

Most stable one: (P), least stable one: (R).

---

(P)
Mn3AlPb: optimized geometry, PBE.

a b c (Å): 5.1197 5.1197 5.1197
angles (deg): 90.00 90.00 90.00
Fractional positions:
1 Pb 0.0000 0.0000 0.0000
2 Mn 0.0000 0.5000 0.0000
3 Mn 0.0000 0.0000 0.5000
4 Mn 0.5000 0.0000 0.0000
5 Al 0.5000 0.5000 0.5000

---

(Q)
Mn3AlPb: optimized geometry, PBE.

a b c (Å): 4.6978 4.6978 4.6978
angles (deg): 90.00 90.00 90.00
Fractional positions:
1 Pb 0.5000 0.5000 0.5000
2 Mn 0.0000 0.5000 0.0000
3 Mn 0.0000 0.0000 0.5000
4 Mn 0.5000 0.0000 0.0000
5 Al 0.0000 0.0000 0.0000

---

Most stable one: (Q), least stable one: (P).

---

(P)
MnAlPb: optimized geometry, PBE.

a b c (Å): 3.1797 3.1797 6.7966
angles (deg): 90.00 90.00 120.00
Fractional positions:
1 Pb 0.6667 0.3333 0.6519
2 Mn 0.3333 0.6667 0.3095
3 Al 0.0000 0.0000 0.0386

---

(Q)
MnAlPb: optimized geometry, PBE.

a b c (Å): 4.5138 4.5138 4.5138
angles (deg): 60.00 60.00 60.00
Fractional positions:
1 Pb 0.0000 0.0000 0.0000
2 Mn 0.7500 0.7500 0.7500
3 Al 0.5000 0.5000 0.5000

---

(R)
MnAlPb: optimized geometry, PBE.

a b c (Å): 6.0104 6.0104 6.0104
angles (deg): 147.77 148.84 45.44
Fractional positions:
1 Pb 0.6751 0.6751 0.0000
2 Mn 0.3594 0.3594 0.0000
3 Al 0.9655 0.9655 0.0000

---

Most stable one: (R), least stable one: (P).

---

(P)
MnAlPd4: optimized geometry, PBE.

a b c (Å): 2.9350 5.5673 6.9669
angles (deg): 117.66 77.84 74.72
Fractional positions:
1 Mn 0.0000 0.0000 0.0000
2 Al 0.5000 0.5000 0.5000
3 Pd 0.8343 0.5104 0.8210
4 Pd 0.3189 0.0290 0.3331
5 Pd 0.1657 0.4896 0.1790
6 Pd 0.6811 0.9710 0.6669

---

(Q)
MnAlPd4: optimized geometry, PBE.

a b c (Å): 4.1585 10.3350 4.1598
angles (deg): 90.00 90.00 90.00
Fractional positions:
1 Mn 0.5000 0.0000 0.5000
2 Mn 0.0000 0.5000 0.5000
3 Al 0.0000 0.0000 0.0000
4 Al 0.5000 0.5000 0.0000
5 Pd 0.0000 0.6540 0.0000
6 Pd 0.5000 0.1540 0.0000
7 Pd 0.5000 0.3462 0.5000
8 Pd 0.0000 0.8462 0.5000
9 Pd 0.0000 0.3460 0.0000
10 Pd 0.5000 0.8460 0.0000
11 Pd 0.5000 0.6538 0.5000
12 Pd 0.0000 0.1538 0.5000

---

Most stable one: (Q), least stable one: (P).

---

(P)
MnAlPd6: optimized geometry, PBE.

a b c (Å): 4.6354 4.6354 7.1746
angles (deg): 72.66 72.66 70.58
Fractional positions:
1 Mn 0.5000 0.5000 0.5000
2 Al 0.0000 0.0000 0.0000
3 Pd 0.0663 0.5539 0.2984
4 Pd 0.5539 0.0663 0.2984
5 Pd 0.4461 0.9337 0.7016
6 Pd 0.9337 0.4461 0.7016
7 Pd 0.3490 0.3490 0.9375
8 Pd 0.6510 0.6510 0.0625

---

(Q)
MnAlPd6: optimized geometry, PBE.

a b c (Å): 3.9213 3.9213 7.7863
angles (deg): 90.00 90.00 90.00
Fractional positions:
1 Mn 0.0000 0.0000 0.0000
2 Al 0.0000 0.0000 0.5000
3 Pd 0.5000 0.5000 0.0000
4 Pd 0.5000 0.5000 0.5000
5 Pd 0.5000 0.0000 0.2531
6 Pd 0.5000 0.0000 0.7469
7 Pd 0.0000 0.5000 0.2531
8 Pd 0.0000 0.5000 0.7469

---

Most stable one: (Q), least stable one: (P).

---

(P)
Mn3AlPd: optimized geometry, PBE.

a b c (Å): 4.7999 4.7999 4.7999
angles (deg): 90.00 90.00 90.00
Fractional positions:
1 Mn 0.0000 0.5000 0.0000
2 Mn 0.0000 0.0000 0.5000
3 Mn 0.5000 0.0000 0.0000
4 Al 0.5000 0.5000 0.5000
5 Pd 0.0000 0.0000 0.0000

---

(Q)
Mn3AlPd: optimized geometry, PBE.

a b c (Å): 4.5300 4.5300 4.5300
angles (deg): 90.00 90.00 90.00
Fractional positions:
1 Mn 0.0000 0.5000 0.0000
2 Mn 0.0000 0.0000 0.5000
3 Mn 0.5000 0.0000 0.0000
4 Al 0.0000 0.0000 0.0000
5 Pd 0.5000 0.5000 0.5000

---

Most stable one: (P), least stable one: (Q).

---

(P)
Mn2Al2Pd: optimized geometry, PBE.

a b c (Å): 6.9282 6.9282 2.9948
angles (deg): 90.00 90.00 90.00
Fractional positions:
1 Mn 0.1602 0.6602 0.5000
2 Mn 0.6602 0.8398 0.5000
3 Mn 0.8398 0.3398 0.5000
4 Mn 0.3398 0.1602 0.5000
5 Al 0.3628 0.8628 0.0000
6 Al 0.8628 0.6372 0.0000
7 Al 0.6372 0.1372 0.0000
8 Al 0.1372 0.3628 0.0000
9 Pd 0.0000 0.0000 0.0000
10 Pd 0.5000 0.5000 0.0000

---

(Q)
Mn2Al2Pd: optimized geometry, PBE.

a b c (Å): 7.0548 7.0548 2.7510
angles (deg): 90.00 90.00 90.00
Fractional positions:
1 Mn 0.3967 0.8967 0.0000
2 Mn 0.8967 0.6033 0.0000
3 Mn 0.6033 0.1033 0.0000
4 Mn 0.1033 0.3967 0.0000
5 Al 0.1906 0.6906 0.5000
6 Al 0.6906 0.8094 0.5000
7 Al 0.8094 0.3094 0.5000
8 Al 0.3094 0.1906 0.5000
9 Pd 0.0000 0.0000 0.0000
10 Pd 0.5000 0.5000 0.0000

---

Most stable one: (P), least stable one: (Q).

---

(P)
Mn2Al2Pt: optimized geometry, PBE.

a b c (Å): 6.9888 6.9888 2.7819
angles (deg): 90.00 90.00 90.00
Fractional positions:
1 Mn 0.3960 0.8960 0.0000
2 Mn 0.8960 0.6040 0.0000
3 Mn 0.6040 0.1040 0.0000
4 Mn 0.1040 0.3960 0.0000
5 Al 0.1906 0.6906 0.5000
6 Al 0.6906 0.8094 0.5000
7 Al 0.8094 0.3094 0.5000
8 Al 0.3094 0.1906 0.5000
9 Pt 0.0000 0.0000 0.0000
10 Pt 0.5000 0.5000 0.0000

---

(Q)
Mn2Al2Pt: optimized geometry, PBE.

a b c (Å): 6.5270 6.5270 3.5022
angles (deg): 90.00 90.00 90.00
Fractional positions:
1 Mn 0.1545 0.6545 0.5000
2 Mn 0.6545 0.8455 0.5000
3 Mn 0.8455 0.3455 0.5000
4 Mn 0.3455 0.1545 0.5000
5 Al 0.3586 0.8586 0.0000
6 Al 0.8586 0.6414 0.0000
7 Al 0.6414 0.1414 0.0000
8 Al 0.1414 0.3586 0.0000
9 Pt 0.0000 0.0000 0.0000
10 Pt 0.5000 0.5000 0.0000

---

Most stable one: (Q), least stable one: (P).

---

(P)
MnAlPt3: optimized geometry, PBE.

a b c (Å): 4.4759 4.4766 7.9247
angles (deg): 86.87 73.59 78.87
Fractional positions:
1 Mn 0.8549 0.8442 0.0091
2 Mn 0.5562 0.3446 0.6054
3 Al 0.3539 0.3444 0.0108
4 Al 0.0572 0.8444 0.6037
5 Pt 0.1445 0.3445 0.4288
6 Pt 0.9555 0.3443 0.8074
7 Pt 0.6460 0.8447 0.4256
8 Pt 0.7651 0.3441 0.1890
9 Pt 0.2667 0.8442 0.1858
10 Pt 0.4556 0.8445 0.8072

---

(Q)
MnAlPt3: optimized geometry, PBE.

a b c (Å): 4.5652 4.5652 4.5652
angles (deg): 90.00 90.00 90.00
Fractional positions:
1 Mn 0.0000 0.0000 0.0000
2 Al 0.5000 0.5000 0.5000
3 Pt 0.0000 0.5000 0.0000
4 Pt 0.0000 0.0000 0.5000
5 Pt 0.5000 0.0000 0.0000

---

Most stable one: (P), least stable one: (Q).

---

(P)
Mn2AlPt2: optimized geometry, PBE.

a b c (Å): 6.6971 6.6971 3.6392
angles (deg): 90.00 90.00 90.00
Fractional positions:
1 Mn 0.1580 0.6580 0.5000
2 Mn 0.6580 0.8420 0.5000
3 Mn 0.8420 0.3420 0.5000
4 Mn 0.3420 0.1580 0.5000
5 Al 0.0000 0.0000 0.0000
6 Al 0.5000 0.5000 0.0000
7 Pt 0.3548 0.8548 0.0000
8 Pt 0.8548 0.6452 0.0000
9 Pt 0.6452 0.1452 0.0000
10 Pt 0.1452 0.3548 0.0000

---

(Q)
Mn2AlPt2: optimized geometry, PBE.

a b c (Å): 5.8161 5.8161 5.8161
angles (deg): 141.28 141.28 55.91
Fractional positions:
1 Mn 0.5920 0.5920 0.0000
2 Mn 0.4080 0.4080 0.0000
3 Al 0.0000 0.0000 0.0000
4 Pt 0.2500 0.7500 0.5000
5 Pt 0.7500 0.2500 0.5000

---

Most stable one: (P), least stable one: (Q).

---

(P)
MnAlPt4: optimized geometry, PBE.

a b c (Å): 5.2590 5.2590 5.2590
angles (deg): 60.00 60.00 60.00
Fractional positions:
1 Mn 0.0000 0.0000 0.0000
2 Al 0.7500 0.7500 0.7500
3 Pt 0.8747 0.3751 0.3751
4 Pt 0.3751 0.3751 0.8747
5 Pt 0.3751 0.8747 0.3751
6 Pt 0.3751 0.3751 0.3751

---

(Q)
MnAlPt4: optimized geometry, PBE.

a b c (Å): 2.8896 4.5104 8.4857
angles (deg): 113.08 90.00 108.68
Fractional positions:
1 Mn 0.4999 0.9998 0.5000
2 Al 0.0001 0.0002 0.0001
3 Pt 0.6437 0.2874 0.8543
4 Pt 0.3563 0.7126 0.1456
5 Pt 0.1545 0.3089 0.3464
6 Pt 0.8455 0.6910 0.6537

---

Most stable one: (Q), least stable one: (P).